(1)
KSnTeAuSe2 | PBE | relaxed

Results
The value obtained for the uncorrected energy is -3.513 eV/atom. As for the crystal system: orthorhombic.

a = 8.6986 Å, b = 8.6986 Å, c = 11.2683 Å
α = 90.00°, β = 90.00°, γ = 153.62°
Positions (direct):
K 0.2298 0.7702 0.7500
K 0.7702 0.2298 0.2500
Sn 0.5000 0.5000 0.0000
Sn 0.5000 0.5000 0.5000
Te 0.4435 0.5565 0.2500
Te 0.5565 0.4435 0.7500
Au 0.1134 0.8866 0.2500
Au 0.8866 0.1134 0.7500
Se 0.1174 0.8826 0.0331
Se 0.1174 0.8826 0.4669
Se 0.8826 0.1174 0.5331
Se 0.8826 0.1174 0.9669

---

(2)
KNdInTe3 | PBE | relaxed

Results
The value obtained for the total moment is 0.011 Bohr magnetons per cell. The value obtained for the uncorrected energy is -3.919 eV/atom. As for the crystal system: orthorhombic.

a = 8.0704 Å, b = 8.0704 Å, c = 12.0383 Å
α = 90.00°, β = 90.00°, γ = 143.44°
Positions (direct):
K 0.2450 0.7550 0.7500
K 0.7550 0.2450 0.2500
Nd 0.0000 0.0000 0.0000
Nd 0.0000 0.0000 0.5000
In 0.4844 0.5156 0.2500
In 0.5156 0.4844 0.7500
Te 0.0767 0.9233 0.2500
Te 0.3694 0.6306 0.0571
Te 0.3694 0.6306 0.4429
Te 0.6306 0.3694 0.5571
Te 0.6306 0.3694 0.9429
Te 0.9233 0.0767 0.7500

---

(3)
TmHgAu | PBE | relaxed

Results
The value obtained for the total moment is 0.003 Bohr magnetons per cell. The formation energy is -312 meV per atom. As for the crystal system: cubic.

a = 4.8125 Å, b = 4.8125 Å, c = 4.8125 Å
α = 60.00°, β = 60.00°, γ = 60.00°
Positions (direct):
Tm 0.0000 0.0000 0.0000
Hg 0.2500 0.2500 0.2500
Au 0.7500 0.7500 0.7500

---

(4)
Ho2CdCu2 | PBE | relaxed

Results
The value obtained for the total moment is 0.012 Bohr magnetons per cell. The formation energy is -317 meV per atom. As for the crystal system: monoclinic.

a = 5.4725 Å, b = 5.4725 Å, c = 14.6729 Å
α = 102.34°, β = 102.34°, γ = 81.54°
Positions (direct):
Ho 0.1677 0.6662 0.3713
Ho 0.1972 0.6988 0.8641
Ho 0.3012 0.8028 0.6359
Ho 0.3338 0.8323 0.1287
Ho 0.6662 0.1677 0.8713
Ho 0.6988 0.1972 0.3641
Ho 0.8028 0.3012 0.1359
Ho 0.8323 0.3338 0.6287
Cd 0.2258 0.2740 0.0000
Cd 0.2740 0.2258 0.5000
Cd 0.7260 0.7742 0.5000
Cd 0.7742 0.7260 0.0000
Cu 0.1245 0.1742 0.7992
Cu 0.1742 0.1245 0.2992
Cu 0.3276 0.3737 0.2009
Cu 0.3737 0.3276 0.7009
Cu 0.6263 0.6724 0.2991
Cu 0.6724 0.6263 0.7991
Cu 0.8258 0.8755 0.7008
Cu 0.8755 0.8258 0.2008

---

(5)
Cu3Ag | PBE | relaxed

Results
The formation energy is 84 meV per atom. As for the crystal system: orthorhombic.

a = 4.3299 Å, b = 5.3524 Å, c = 4.6253 Å
α = 90.00°, β = 90.00°, γ = 90.00°
Positions (direct):
Cu 0.2500 0.0007 0.1596
Cu 0.2500 0.2500 0.6850
Cu 0.2500 0.4993 0.1596
Cu 0.7500 0.5007 0.8404
Cu 0.7500 0.7500 0.3150
Cu 0.7500 0.9993 0.8404
Ag 0.2500 0.7500 0.6582
Ag 0.7500 0.2500 0.3418

---

(6)
Tm3Mg3IrPtAu | PBE | relaxed

Results
The value obtained for the total moment is 0.009 Bohr magnetons per cell. The value obtained for the uncorrected energy is -4.822 eV/atom. As for the crystal system: hexagonal.

a = 7.3558 Å, b = 7.3558 Å, c = 4.0090 Å
α = 90.00°, β = 90.00°, γ = 120.00°
Positions (direct):
Tm 0.0094 0.5891 0.0000
Tm 0.4109 0.4204 0.0000
Tm 0.5796 0.9906 0.0000
Mg 0.2541 0.0009 0.5000
Mg 0.7467 0.7459 0.5000
Mg 0.9991 0.2533 0.5000
Ir 0.3333 0.6667 0.5000
Pt 0.6667 0.3333 0.5000
Au 0.0000 0.0000 0.0000

---

(7)
PrInHgAu | PBE | relaxed

Results
The value obtained for the total moment is 0.001 Bohr magnetons per cell. The value obtained for the uncorrected energy is -3.323 eV/atom. As for the crystal system: cubic.

a = 5.1568 Å, b = 5.1568 Å, c = 5.1568 Å
α = 60.00°, β = 60.00°, γ = 60.00°
Positions (direct):
Pr 0.0000 0.0000 0.0000
In 0.5000 0.5000 0.5000
Hg 0.2500 0.2500 0.2500
Au 0.7500 0.7500 0.7500

---

(8)
PmNi3 | PBE | relaxed

Results
The value obtained for the total moment is 0.492 Bohr magnetons per cell. The formation energy is -341 meV per atom. As for the crystal system: monoclinic.

a = 5.0046 Å, b = 5.0046 Å, c = 8.7089 Å
α = 106.74°, β = 106.74°, γ = 60.05°
Positions (direct):
Pm 0.0000 0.0000 0.0000
Pm 0.1388 0.1388 0.4164
Pm 0.8612 0.8612 0.5836
Ni 0.0818 0.5807 0.2430
Ni 0.3333 0.3333 0.9983
Ni 0.4189 0.4189 0.7565
Ni 0.4193 0.9182 0.7570
Ni 0.5000 0.5000 0.5000
Ni 0.5807 0.0818 0.2430
Ni 0.5811 0.5811 0.2435
Ni 0.6667 0.6667 0.0017
Ni 0.9182 0.4193 0.7570

---

(9)
SmGdTeO2 | PBE | relaxed

Results
The value obtained for the total moment is 0.000 Bohr magnetons per cell. The energy above the lowest structure with this stoichiometry comes out at 0 meV per atom. As for the crystal system: tetragonal.

a = 6.9208 Å, b = 6.9208 Å, c = 6.9208 Å
α = 146.59°, β = 146.59°, γ = 47.97°
Positions (direct):
Sm 0.0000 0.0000 0.0000
Gd 0.6789 0.6789 0.0000
Te 0.3400 0.3400 0.0000
O 0.0921 0.5921 0.5000
O 0.5921 0.0921 0.5000

---

(10)
Lu4Al3W2N3 | PBE | relaxed

Results
The value obtained for the total moment is 0.003 Bohr magnetons per cell. The value obtained for the uncorrected energy is -7.471 eV/atom. As for the crystal system: monoclinic.

a = 5.6348 Å, b = 5.6348 Å, c = 14.1590 Å
α = 101.32°, β = 101.32°, γ = 60.45°
Positions (direct):
Lu 0.0329 0.1969 0.0974
Lu 0.1310 0.3030 0.4026
Lu 0.1969 0.0329 0.5974
Lu 0.3030 0.1310 0.9026
Lu 0.6970 0.8690 0.0974
Lu 0.8031 0.9671 0.4026
Lu 0.8690 0.6970 0.5974
Lu 0.9671 0.8031 0.9026
Al 0.1480 0.8520 0.2500
Al 0.3138 0.4159 0.7509
Al 0.4159 0.3138 0.2509
Al 0.5841 0.6862 0.7491
Al 0.6862 0.5841 0.2491
Al 0.8520 0.1480 0.7500
W 0.3549 0.5256 0.0780
W 0.4744 0.6451 0.4220
W 0.5256 0.3549 0.5780
W 0.6451 0.4744 0.9220
N 0.0000 0.5000 0.0000
N 0.1713 0.6643 0.5000
N 0.3357 0.8287 0.0000
N 0.5000 0.0000 0.5000
N 0.6643 0.1713 0.0000
N 0.8287 0.3357 0.5000

---

(11)
LiCuReSi | PBE | relaxed

Results
The value obtained for the total moment is 0.641 Bohr magnetons per cell. The energy above the lowest structure with this stoichiometry comes out at 470 meV per atom. As for the crystal system: cubic.

a = 4.1330 Å, b = 4.1330 Å, c = 4.1330 Å
α = 60.00°, β = 60.00°, γ = 60.00°
Positions (direct):
Li 0.0000 0.0000 0.0000
Cu 0.5000 0.5000 0.5000
Re 0.7500 0.7500 0.7500
Si 0.2500 0.2500 0.2500

---

(12)
ReHg | PBE | relaxed

Results
The value obtained for the total moment is 0.001 Bohr magnetons per cell. The formation energy is 957 meV per atom. The energy above the lowest structure with this stoichiometry comes out at 0 meV per atom. As for the crystal system: hexagonal.

a = 2.8748 Å, b = 2.8748 Å, c = 4.8671 Å
α = 90.00°, β = 90.00°, γ = 120.00°
Positions (direct):
Re 0.0000 0.0000 0.0000
Hg 0.3333 0.6667 0.5000